Here is a relaxed K6InO4 crystal from Alexandria. Energies are from GGA-PBE.

## Properties
Total magnetic moment = 0.2 μB per formula unit
E_form (uncorrected) = -110 kJ/mol of atoms
Calculated total energy = -3.79 eV per atom
Crystal system = hexagonal

a = 6.6557 Å, b = 9.2840 Å, c = 9.2840 Å
α = 120.00°, β = 90.00°, γ = 90.00°
Closest atoms and distances in Å follow each position.
Atoms (fractional coordinates):
1 K 0.4746 0.7246 0.8623  1 O 2.71
2 K 0.4746 0.1377 0.2754  1 O 2.71
3 K 0.4746 0.1377 0.8623  1 O 2.71
4 K 0.9746 0.2754 0.1377  1 O 2.71
5 K 0.9746 0.8623 0.7246  1 O 2.71
6 K 0.9746 0.8623 0.1377  1 O 2.71
7 K 0.6344 0.9173 0.4587  3 O 2.72-2.79
8 K 0.6344 0.5413 0.0827  3 O 2.72-2.79
9 K 0.6344 0.5413 0.4587  3 O 2.72-2.79
10 K 0.1344 0.0827 0.5413  3 O 2.72-2.79
11 K 0.1344 0.4587 0.9173  3 O 2.72-2.79
12 K 0.1344 0.4587 0.5413  3 O 2.72-2.79
13 In 0.7276 0.3333 0.6667  4 O 2.12-2.14
14 In 0.2276 0.6667 0.3333  4 O 2.12-2.14
15 O 0.4084 0.3333 0.6667  1 In 2.12
16 O 0.9084 0.6667 0.3333  1 In 2.12
17 O 0.8431 0.5822 0.7911  1 In 2.14
18 O 0.8431 0.2089 0.4178  1 In 2.14
19 O 0.8431 0.2089 0.7911  1 In 2.14
20 O 0.3431 0.4178 0.2089  1 In 2.14
21 O 0.3431 0.7911 0.5822  1 In 2.14
22 O 0.3431 0.7911 0.2089  1 In 2.14